Entry from the Alexandria database: NaAs2Cl after structural relaxation (PBE).

Summary:
- E above lowest polymorph (meV per atom) = 0
- energy relative to the elements, uncorrected (kJ/mol of formula units) = -221.6
- final energy (Ha/atom) = -0.136

The structure in CIF format:
```
data_NaAs2Cl
_symmetry_space_group_name_H-M 'I -4 2 d'
_symmetry_Int_Tables_number 122
_symmetry_space_group_name_Hall 'I -4 2bw'
_cell_length_a 3.835
_cell_length_b 3.835
_cell_length_c 36.741
_cell_angle_alpha 90.00
_cell_angle_beta 90.00
_cell_angle_gamma 90.00
loop_
_atom_site_label
_atom_site_fract_x
_atom_site_fract_y
_atom_site_fract_z
_atom_site_occupancy
Na1 0.000 0.000 0.000 1
As1 0.191 0.250 0.625 1
Cl1 0.000 0.000 0.500 1
```